# Li2Mg3 | Alexandria via LeMat-Bulk | PBE | optimized geometry
data_Li2Mg3
_symmetry_space_group_name_H-M 'P 1'
_symmetry_Int_Tables_number 1
_cell_length_a 4.776
_cell_length_b 4.776
_cell_length_c 5.804
_cell_angle_alpha 90.00
_cell_angle_beta 90.00
_cell_angle_gamma 120.00
loop_
_symmetry_equiv_pos_as_xyz
'x,y,z'
loop_
_atom_site_label
_atom_site_type_symbol
_atom_site_fract_x
_atom_site_fract_y
_atom_site_fract_z
_atom_site_occupancy
Li1 Li 0.333 0.667 0.360 1
Li2 Li 0.667 0.333 0.640 1
Mg1 Mg 0.000 0.000 0.500 1
Mg2 Mg 0.333 0.667 0.853 1
Mg3 Mg 0.667 0.333 0.147 1
# Excess energy over the best structure of this formula in the dataset = 150 meV/atom
# Final energy = -1.629 eV per atom
# Formation enthalpy at 0 K = 0.093 eV/atom